Record 1
Computed, not measured: a geometry-optimized HoNp2PaAs4 structure at the PBE level of DFT.

Its formation enthalpy at 0 K is -0.975 eV/atom. For the density, the calculation gives 9.95 g/cm3. The total magnetic moment is 0.3 μB/f.u. The calculation puts the raw total energy at -8.29 eV/atom.

Cell and atoms, written as CIF:
```
data_HoNp2PaAs4
_symmetry_space_group_name_H-M 'P 1 2/m 1'
_symmetry_Int_Tables_number 10
_cell_length_a 7.0832
_cell_length_b 4.0994
_cell_length_c 7.1300
_cell_angle_alpha 90.00
_cell_angle_beta 109.52
_cell_angle_gamma 90.00
loop_
_symmetry_equiv_pos_as_xyz
'x,y,z'
'-x,-y,-z'
'-x,y,-z'
'x,-y,z'
loop_
_atom_site_label
_atom_site_type_symbol
_atom_site_fract_x
_atom_site_fract_y
_atom_site_fract_z
Ho1 Ho 0.0000 0.0000 0.0000
Np1 Np 0.5000 0.0000 0.5000
Np2 Np 0.5000 0.5000 0.0000
Pa1 Pa 0.0000 0.5000 0.5000
As1 As 0.2477 0.0000 0.7500
As2 As 0.2494 0.5000 0.2509
```

=====

Record 2
Computed, not measured: a geometry-optimized PrHo2NpAs4 structure at the PBE level of DFT.

Its formation enthalpy at 0 K is -1.290 eV/atom. For the density, the calculation gives 8.25 g/cm3. The total magnetic moment is 3.8 μB/f.u. The calculation puts the raw total energy at -6.97 eV/atom.

Cell and atoms, written as CIF:
```
data_PrHo2NpAs4
_symmetry_space_group_name_H-M 'P 1 2/m 1'
_symmetry_Int_Tables_number 10
_cell_length_a 7.1869
_cell_length_b 4.1498
_cell_length_c 7.2020
_cell_angle_alpha 90.00
_cell_angle_beta 109.35
_cell_angle_gamma 90.00
loop_
_symmetry_equiv_pos_as_xyz
'x,y,z'
'-x,-y,-z'
'-x,y,-z'
'x,-y,z'
loop_
_atom_site_label
_atom_site_type_symbol
_atom_site_fract_x
_atom_site_fract_y
_atom_site_fract_z
Pr1 Pr 0.0000 0.0000 0.0000
Ho1 Ho 0.5000 0.0000 0.5000
Ho2 Ho 0.5000 0.5000 0.0000
Np1 Np 0.0000 0.5000 0.5000
As1 As 0.2536 0.0000 0.7448
As2 As 0.2571 0.5000 0.2603
```